[1]
An optimized crystal structure of V4Co6Ir7. Source: Alexandria, functional PBE.

The structure in extended XYZ format:
```
17
Lattice="-4.1662 -4.7999 2.0325 6.1438 -2.5193 -0.6584 0.0859 4.9242 4.5024" Properties=species:S:1:pos:R:3 pbc="T T T"
Ir -0.0312 -3.6285 2.3208
Ir 3.6093 -0.6273 2.2655
Ir 0.0000 0.0000 0.0000
Ir -1.5457 -1.7676 3.6110
Ir 2.5463 -3.0583 1.6480
Ir 2.0948 1.2336 3.5557
Ir -0.4827 0.6634 4.2284
Co -1.2023 0.0366 1.9256
Co 0.5827 -2.1567 0.4049
Co 1.8356 0.7086 1.1327
Co -2.8780 0.0877 4.6093
Co 1.3949 -5.1625 0.9692
Co 4.3940 1.6963 2.7113
V 3.0719 -1.2596 -0.3292
V 1.0318 -1.1975 2.9382
V -2.0831 -2.3999 1.0162
V 0.0429 2.4621 2.2512
```

Summary:
Space-group type   Im-3m (229)
ΔE_f   0.003 eV/atom

---

[2]
An optimized crystal structure of Pm2DyTcO8. Source: Alexandria, functional PBE.

The structure in extended XYZ format:
```
12
Lattice="5.1545 -0.0460 -0.0030 -0.0198 5.1503 -0.0058 0.0044 0.0076 6.8467" Properties=species:S:1:pos:R:3 pbc="T T T"
Dy 0.0022 0.0038 3.4233
Tc 0.0000 0.0000 0.0000
O 1.5569 1.5449 3.4204
O 3.5822 3.5669 3.4176
O 0.8946 4.2279 1.4129
O 1.3418 1.3276 -0.0018
O 4.2415 0.8788 1.4149
O 3.7973 3.7843 6.8397
O 0.8976 4.2330 5.4230
O 4.2445 0.8839 5.4251
Pm 2.5702 2.5575 5.1326
Pm 2.5689 2.5543 1.7053
```

Summary:
Space-group type   Cmmm (65)
Formation energy from raw total energies   -2555 meV/atom

---

[3]
An optimized crystal structure of Hf2CuIr2. Source: Alexandria, functional PBE.

The structure in extended XYZ format:
```
10
Lattice="7.5742 0.0000 0.0000 0.0000 7.5742 0.0000 0.0000 0.0000 3.1343" Properties=species:S:1:pos:R:3 pbc="T T T"
Ir 2.7356 6.5227 0.0000
Ir 6.5227 4.8386 0.0000
Ir 1.0515 2.7356 0.0000
Ir 4.8386 1.0515 0.0000
Hf 6.3645 2.5773 1.5672
Hf 4.9969 6.3645 1.5672
Hf 1.2098 4.9969 1.5672
Hf 2.5773 1.2098 1.5672
Cu 0.0000 0.0000 0.0000
Cu 3.7871 3.7871 0.0000
```

Summary:
Space-group type   P4/mbm (127)
Polymorph energy (0 for the lowest one)   0.0 meV per atom
ΔE_f   -0.589 eV/atom

---

[4]
An optimized crystal structure of MnCuTe3. Source: Alexandria, functional PBE.

The structure in extended XYZ format:
```
5
Lattice="-3.6693 2.3317 -2.5381 -3.2460 -3.5840 1.4002 -1.1584 2.6572 4.1158" Properties=species:S:1:pos:R:3 pbc="T T T"
Te -1.8346 1.1658 -1.2690
Te -1.6230 -1.7920 0.7001
Te -0.5792 1.3286 2.0579
Mn 0.0000 0.0000 0.0000
Cu -4.0369 0.7024 1.4890
```

Summary:
Space-group type   Pm-3m (221)
Polymorph energy (0 for the lowest one)   843.7 meV per atom
Formation energy from raw total energies   736 meV/atom

---

[5]
An optimized crystal structure of Sr2Al2W. Source: Alexandria, functional PBE.

The structure in extended XYZ format:
```
5
Lattice="-3.4276 -0.6512 -0.9140 -0.2014 -2.5325 2.5600 -5.0676 5.7273 7.8075" Properties=species:S:1:pos:R:3 pbc="T T T"
Sr -2.4872 -0.0783 2.2674
Sr -6.2094 2.6218 7.1862
Al -5.1548 1.7421 3.8583
Al -3.5418 0.8015 5.5953
W 0.0000 0.0000 0.0000
```

Summary:
Space-group type   I4/mmm (139)
Polymorph energy (0 for the lowest one)   0.0 meV per atom
ΔE_f   0.873 eV/atom

---

[6]
An optimized crystal structure of SrSiB2Pd. Source: Alexandria, functional PBE.

The structure in extended XYZ format:
```
5
Lattice="4.1959 0.0000 0.0000 0.0000 4.7453 0.0000 0.0000 0.0000 4.1959" Properties=species:S:1:pos:R:3 pbc="T T T"
B 2.0979 0.0000 0.0000
B 0.0000 0.0000 2.0979
Pd 0.0000 2.3726 0.0000
Sr 2.0979 2.3726 2.0979
Si 0.0000 0.0000 0.0000
```

Summary:
Space-group type   P4/mmm (123)
Formation energy from raw total energies   538 meV/atom

---

[7]
An optimized crystal structure of Na2HoUS6. Source: Alexandria, functional PBE.

The structure in extended XYZ format:
```
20
Lattice="-1.7430 -3.7082 5.5575 7.0117 -0.1204 2.1187 -1.4501 8.1255 5.2605" Properties=species:S:1:pos:R:3 pbc="T T T"
Na 2.0026 4.1144 8.1173
Na 1.8160 0.1825 4.8195
Na 6.0830 1.8631 3.4588
Na -2.2644 2.4338 9.4780
S 2.7434 4.4828 11.0584
S -0.4968 4.9408 9.5288
S 0.3958 2.7442 3.9071
S 1.9352 5.6261 5.6704
S -0.0312 2.0144 7.4355
S 3.4228 1.5527 9.0296
S 3.8499 2.2825 5.5013
S 1.0752 -0.1859 1.8784
S 1.8834 -1.3292 7.2664
S 4.3155 -0.6439 3.4079
S -1.2134 -0.2392 4.9117
S 5.0320 4.5361 8.0251
U -1.5965 2.2087 5.4090
U 3.5059 -0.0602 1.0594
Ho -0.8715 -1.8541 2.7787
Ho 2.7808 4.0025 3.6896
```

Summary:
Space-group type   P2_1/c (14)
Formation energy from raw total energies   -1219 meV/atom

---

[8]
An optimized crystal structure of KBeInW2. Source: Alexandria, functional PBE.

The structure in extended XYZ format:
```
5
Lattice="5.1933 0.0000 0.0000 0.0000 5.8135 0.0000 0.0000 0.0000 5.1933" Properties=species:S:1:pos:R:3 pbc="T T T"
Be 2.5966 2.9068 2.5966
K 0.0000 2.9068 0.0000
W 0.0000 0.0000 2.5966
W 2.5966 0.0000 0.0000
In 0.0000 0.0000 0.0000
```

Summary:
Space-group type   P4/mmm (123)
ΔE_f   2.796 eV/atom

---

[9]
An optimized crystal structure of HoTm2Pt. Source: Alexandria, functional PBE.

The structure in extended XYZ format:
```
4
Lattice="-2.0219 1.3112 -2.8880 -3.6947 0.5804 0.4007 -0.2248 9.3951 1.9734" Properties=species:S:1:pos:R:3 pbc="T T T"
Tm -1.5928 2.2611 -0.3077
Tm -4.3485 9.0256 -0.2062
Pt 0.0000 0.0000 0.0000
Ho -2.9707 5.6433 -0.2569
```

Summary:
Space-group type   R-3m (166)
Polymorph energy (0 for the lowest one)   236.8 meV per atom
ΔE_f   -0.507 eV/atom

---

[10]
An optimized crystal structure of InPdBr6. Source: Alexandria, functional PBE.

The structure in extended XYZ format:
```
8
Lattice="6.6096 -0.1468 -0.1181 3.1632 5.8174 0.0373 3.1386 1.9722 5.9890" Properties=species:S:1:pos:R:3 pbc="T T T"
Br 5.2376 5.8577 1.4771
Br 5.4855 1.8524 1.4532
Br 8.7568 3.8556 1.3445
Br 7.4260 5.7904 4.4550
Br 4.1546 3.7872 4.5638
Br 7.6738 1.7851 4.4311
In 6.4557 3.8214 2.9541
Pd 0.0000 0.0000 0.0000
```

Summary:
Space-group type   P-1 (2)
Polymorph energy (0 for the lowest one)   29.5 meV per atom
Formation energy from raw total energies   -398 meV/atom

---

[11]
An optimized crystal structure of Sm3Tl2Sb. Source: Alexandria, functional PBE.

The structure in extended XYZ format:
```
12
Lattice="-3.7591 4.8739 1.4665 -5.9518 -3.1486 -4.7921 0.7370 -5.4065 6.2077" Properties=species:S:1:pos:R:3 pbc="T T T"
Sm -5.1878 -0.9386 3.5045
Sm -3.3689 1.6516 -0.4642
Sm -8.1547 -2.5246 1.1049
Sm -0.8191 -1.1566 1.7771
Sm -3.7861 -2.7426 -0.6225
Sm -6.3420 0.0736 -2.8614
Tl -2.8056 1.1253 2.7563
Tl -5.7712 -0.4624 0.3562
Tl -3.2027 -3.2188 2.5259
Tl -6.1682 -4.8065 0.1258
Sb -8.2211 2.5101 -2.1283
Sb -1.4898 -0.7848 -1.1973
```

Summary:
Space-group type   C2/c (15)
Formation energy from raw total energies   -489 meV/atom

---

[12]
An optimized crystal structure of Pr5HoCd3. Source: Alexandria, functional PBE.

The structure in extended XYZ format:
```
18
Lattice="-2.7023 2.4078 6.0785 -7.4606 -5.8229 -1.0103 7.7651 -2.9739 4.6302" Properties=species:S:1:pos:R:3 pbc="T T T"
Cd -7.0516 -2.1160 3.8784
Cd -4.2572 -6.0201 6.6672
Cd -3.1113 -1.2991 1.1898
Cd -1.9273 -1.0659 5.7406
Cd -0.4705 -5.3231 3.9578
Cd 1.8594 -0.3689 3.0312
Pr -5.6382 -3.2713 0.8476
Pr -4.5247 -0.1438 4.2206
Pr -1.8241 -4.0454 6.9667
Pr -2.3854 -4.8731 0.8698
Pr -6.8872 -5.0128 5.0990
Pr 4.4894 -1.3763 4.5994
Pr 2.6900 -3.9237 2.7501
Pr 1.3388 -2.7198 5.7894
Pr -3.7366 -3.6692 3.9090
Pr -0.5737 -2.3437 2.7317
Ho 0.0000 0.0000 0.0000
Ho -1.3512 1.2039 3.0392
```

Summary:
Space-group type   P6_3/mcm (193)
ΔE_f   -0.175 eV/atom

---

[13]
An optimized crystal structure of ScCdIn4. Source: Alexandria, functional PBE.

The structure in extended XYZ format:
```
12
Lattice="-1.2881 -1.7701 -4.4233 7.9715 -4.6002 -0.4806 -6.5319 -2.5520 4.4508" Properties=species:S:1:pos:R:3 pbc="T T T"
Cd -2.5238 -4.6538 2.6835
Cd 2.6753 -4.2684 -3.1365
In 6.6202 -3.8204 -0.3991
In -2.5611 -4.4107 -0.2622
In 2.7126 -4.5116 -0.1909
In 0.1184 -3.3278 -1.4942
In 4.9045 -6.0897 -1.7827
In 0.0330 -5.5944 1.0411
In -4.7530 -2.8325 1.3297
In 1.3513 -0.7798 -0.0815
Sc 1.3033 -6.8055 -1.6097
Sc -1.1518 -2.1167 1.1566
```

Summary:
Space-group type   C2/m (12)
Polymorph energy (0 for the lowest one)   0.0 meV per atom
ΔE_f   -0.052 eV/atom

---

[14]
An optimized crystal structure of PdRh2N. Source: Alexandria, functional PBE.

The structure in extended XYZ format:
```
8
Lattice="-4.1510 4.4717 0.8226 -3.5077 -3.8582 3.2732 -2.4307 1.1472 4.5374" Properties=species:S:1:pos:R:3 pbc="T T T"
Rh -8.1391 1.8210 6.6273
Rh -5.0803 0.6666 5.2985
Rh -3.7748 -1.0744 3.3732
Rh -3.1845 2.1081 1.9672
Pd 0.0000 0.0000 0.0000
Pd -5.2055 2.9628 3.7039
N -4.8839 -1.2022 4.9292
N -3.8293 0.3067 2.0479
```

Summary:
Space-group type   I-42d (122)
Formation energy from raw total energies   311 meV/atom

---

[15]
An optimized crystal structure of La2OsPt. Source: Alexandria, functional PBE.

The structure in extended XYZ format:
```
4
Lattice="-0.6021 3.5571 -3.6751 -1.9979 -2.2610 -1.8611 -4.2134 1.7583 2.3921" Properties=species:S:1:pos:R:3 pbc="T T T"
La -3.9397 1.2545 1.8596
La -2.1263 2.1564 -1.1729
Pt -5.2302 1.9004 -0.9121
Os -2.8361 -0.7499 -0.2612
```

Summary:
Space-group type   Pmm2 (25)
ΔE_f   -0.457 eV/atom

---

[16]
An optimized crystal structure of Sc5Tl2PdRh2. Source: Alexandria, functional PBE.

The structure in extended XYZ format:
```
20
Lattice="-0.2239 3.0663 -1.3452 2.3857 -4.2211 -10.0186 -10.8461 -1.6248 -1.8982" Properties=species:S:1:pos:R:3 pbc="T T T"
Pd -4.2302 -2.9230 -5.9584
Pd 0.0000 0.0000 0.0000
Rh -6.5550 -1.5945 -2.5435
Rh -1.9054 -4.2514 -9.3733
Rh -0.5775 -1.7632 -3.9228
Rh -7.8830 -4.0827 -7.9939
Sc -2.3922 -0.7593 -5.5184
Sc -6.2922 -2.0203 -7.7436
Sc -5.5350 0.7208 -1.6217
Sc -8.2384 -3.3651 -10.4850
Sc -3.0728 -2.0972 -8.4548
Sc -8.6555 -0.0851 -2.9392
Sc 1.0809 -0.5774 -5.6819
Sc -0.4459 0.5856 -2.7770
Sc -0.0289 -2.6945 -10.3228
Sc -5.6116 -0.6824 -4.8072
Tl -8.2108 -2.7386 -4.8757
Tl -0.2496 -3.1073 -7.0411
Tl -3.1671 -1.2551 -2.3336
Tl -5.2934 -4.5908 -9.5832
```

Summary:
Space-group type   P4/mbm (127)
ΔE_f   -0.619 eV/atom

---

[17]
An optimized crystal structure of CdTeAu2. Source: Alexandria, functional PBE.

The structure in extended XYZ format:
```
4
Lattice="-2.7725 -4.5742 2.4248 -2.0797 -5.2882 -1.4830 3.5676 -1.6622 0.9362" Properties=species:S:1:pos:R:3 pbc="T T T"
Au -4.2804 -9.8193 1.0353
Au -1.5789 -8.7768 1.3237
Cd -0.2645 -6.1132 1.0701
Te -0.6551 -2.4400 0.3297
```

Summary:
Space-group type   Amm2 (38)
Polymorph energy (0 for the lowest one)   37.9 meV per atom
Formation energy from raw total energies   -42 meV/atom

---

[18]
An optimized crystal structure of BaNiIr3. Source: Alexandria, functional PBE.

The structure in extended XYZ format:
```
5
Lattice="4.6809 0.0000 0.0000 0.0000 4.6809 0.0000 0.0000 0.0000 4.6809" Properties=species:S:1:pos:R:3 pbc="T T T"
Ir 0.0000 0.0000 2.3405
Ir 0.0000 2.3405 0.0000
Ir 2.3405 0.0000 0.0000
Ni 0.0000 0.0000 0.0000
Ba 2.3405 2.3405 2.3405
```

Summary:
Space-group type   Pm-3m (221)
Polymorph energy (0 for the lowest one)   0.0 meV per atom
ΔE_f   0.928 eV/atom